The following is a DFT calculation (PBEsol) of an optimized crystal structure of In5Cl.

Values from the calculation:
As for the crystal system: monoclinic. The calculation puts the energy at -36.0 eV for the cell shown. For the uncorrected formation energy, the calculation gives -0.18 eV per atom. The calculation puts the volume at 302 Å³/cell.

Cell: 11.499 3.314 9.587 Å, 90.00 124.19 90.00°
Space group Cm (No. 8)
Inequivalent atoms, fractional coordinates:
In 0.000 0.000 0.000 [2 per cell]
In 0.004 0.000 0.640 [2 per cell]
In 0.138 0.500 0.334 [2 per cell]
In 0.234 0.500 0.992 [2 per cell]
In 0.283 0.000 0.674 [2 per cell]
Cl 0.388 0.000 0.315 [2 per cell]

=====

The following is a DFT calculation (PBEsol) of an optimized crystal structure of InCl5.

Values from the calculation:
As for the crystal system: hexagonal. The energy above the most stable polymorph in this dataset comes out at 963.5 meV per atom. The calculation puts the energy at -11.2 eV for the cell shown. For the uncorrected formation energy, the calculation gives 0.30 eV per atom. The calculation puts the volume at 145 Å³/cell.

Cell: 6.0188 6.0188 4.6249 Å, 90.00 90.00 120.00°
Space group P6/mmm (No. 191)
Inequivalent atoms, fractional coordinates:
In 0.0000 0.0000 0.0000 [1 per cell]
Cl 0.0000 0.5000 0.5000 [3 per cell]
Cl 0.3333 0.6667 0.0000 [2 per cell]

=====

The following is a DFT calculation (PBEsol) of an optimized crystal structure of InIrCl2.

Values from the calculation:
As for the crystal system: tetragonal. The energy above the most stable polymorph in this dataset comes out at 331.4 meV per atom. The calculation puts the energy at -16.3 eV for the cell shown. For the uncorrected formation energy, the calculation gives 0.13 eV per atom. The calculation puts the volume at 87 Å³/cell.

Cell: 3.591 3.591 6.782 Å, 90.00 90.00 90.00°
Space group P4mm (No. 99)
Inequivalent atoms, fractional coordinates:
In 0.000 0.000 0.000 [1 per cell]
Ir 0.500 0.500 0.109 [1 per cell]
Cl 0.000 0.000 0.383 [1 per cell]
Cl 0.500 0.500 0.759 [1 per cell]

=====

Question: Which of these has the lowest energy?
Answer: In5Cl